[1]
Computed, not measured: a relaxed structure of La2Tb12Zr at the PBE level of DFT.

Geometry as CIF:
```
data_La2Tb12Zr
_cell_length_a 6.4979
_cell_length_b 6.4979
_cell_length_c 24.2892
_cell_angle_alpha 90.00
_cell_angle_beta 90.00
_cell_angle_gamma 90.00
_symmetry_space_group_name_H-M 'P 4/n b m'
_symmetry_Int_Tables_number 125
loop_
_symmetry_equiv_pos_as_xyz
'x,y,z'
'-x,-y,-z'
'-y+1/2,x,z'
'y+1/2,-x,-z'
'-x+1/2,-y+1/2,z'
'x+1/2,y+1/2,-z'
'y,-x+1/2,z'
'-y,x+1/2,-z'
'x,-y+1/2,-z'
'-x,y+1/2,z'
'-y+1/2,-x+1/2,-z'
'y+1/2,x+1/2,z'
'-x+1/2,y,-z'
'x+1/2,-y,z'
'y,x,-z'
'-y,-x,z'
loop_
_atom_site_label
_atom_site_fract_x
_atom_site_fract_y
_atom_site_fract_z
_atom_site_occupancy
La1 0.2500 0.7500 0.2363 1
Tb1 0.0543 0.5543 0.3980 1
Tb2 0.0815 0.5815 0.0626 1
Tb3 0.2500 0.2500 0.1648 1
Tb4 0.2500 0.2500 0.2941 1
Zr1 0.2500 0.7500 0.5000 1
```

Results
* density of states at the Fermi level: 1.557 states/eV/atom
* ΔE_f: 0.374 eV per atom
* total energy: -4.56 eV per atom

---

[2]
Computed, not measured: a relaxed structure of NaAg2Sb at the PBE level of DFT.

Geometry as CIF:
```
data_NaAg2Sb
_cell_length_a 5.0740
_cell_length_b 5.0740
_cell_length_c 18.3035
_cell_angle_alpha 90.00
_cell_angle_beta 90.00
_cell_angle_gamma 90.00
_symmetry_space_group_name_H-M 'I -4 2 d'
_symmetry_Int_Tables_number 122
_symmetry_space_group_name_Hall 'I -4 2bw'
loop_
_atom_site_label
_atom_site_fract_x
_atom_site_fract_y
_atom_site_fract_z
_atom_site_occupancy
Na1 0.0000 0.0000 0.0000 1
Ag1 0.1322 0.2500 0.6250 1
Sb1 0.0000 0.0000 0.5000 1
```

Results
* density of states at the Fermi level: 0.032 states/eV/atom
* formation energy without anion corrections: 0.04 eV per atom
* total energy: -2.75 eV per atom

---

[3]
Computed, not measured: a relaxed structure of La9CeIn2 at the PBE level of DFT.

Geometry as CIF:
```
data_La9CeIn2
_cell_length_a 5.0817
_cell_length_b 5.0817
_cell_length_c 15.3667
_cell_angle_alpha 90.00
_cell_angle_beta 90.00
_cell_angle_gamma 90.00
_symmetry_space_group_name_H-M 'P 4/m m m'
_symmetry_Int_Tables_number 123
_symmetry_space_group_name_Hall '-P 4 2'
loop_
_atom_site_label
_atom_site_fract_x
_atom_site_fract_y
_atom_site_fract_z
_atom_site_occupancy
La1 0.0000 0.0000 0.0000 1
La2 0.0000 0.0000 0.3361 1
La3 0.0000 0.5000 0.1669 1
La4 0.0000 0.5000 0.5000 1
Ce1 0.5000 0.5000 0.0000 1
In1 0.5000 0.5000 0.3347 1
```

Results
* density of states at the Fermi level: 1.528 states/eV/atom
* ΔE_f: -0.177 eV per atom
* total energy: -4.82 eV per atom

---

[4]
Computed, not measured: a relaxed structure of BaTl2Re at the PBE level of DFT.

Geometry as CIF:
```
data_BaTl2Re
_cell_length_a 7.5965
_cell_length_b 7.5965
_cell_length_c 7.5965
_cell_angle_alpha 90.00
_cell_angle_beta 90.00
_cell_angle_gamma 90.00
_symmetry_space_group_name_H-M 'F m -3 m'
_symmetry_Int_Tables_number 225
_symmetry_space_group_name_Hall '-F 4 2 3'
loop_
_atom_site_label
_atom_site_fract_x
_atom_site_fract_y
_atom_site_fract_z
_atom_site_occupancy
Ba1 0.0000 0.0000 0.0000 1
Tl1 0.2500 0.2500 0.2500 1
Re1 0.0000 0.0000 0.5000 1
```

Results
* density of states at the Fermi level: 0.792 states/eV/atom
* excess energy over the best structure of this formula in the dataset: 253 meV per atom
* ΔE_f: 0.832 eV per atom
* total energy: -3.94 eV per atom

---

[5]
Computed, not measured: a relaxed structure of Ba4Na3Sr at the PBE level of DFT.

Geometry as CIF:
```
data_Ba4Na3Sr
_cell_length_a 4.7294
_cell_length_b 6.7834
_cell_length_c 13.5294
_cell_angle_alpha 90.00
_cell_angle_beta 90.00
_cell_angle_gamma 90.00
_symmetry_space_group_name_H-M 'P m m m'
_symmetry_Int_Tables_number 47
loop_
_symmetry_equiv_pos_as_xyz
'x,y,z'
'-x,-y,-z'
'-x,-y,z'
'x,y,-z'
'x,-y,-z'
'-x,y,z'
'-x,y,-z'
'x,-y,z'
loop_
_atom_site_label
_atom_site_fract_x
_atom_site_fract_y
_atom_site_fract_z
_atom_site_occupancy
Ba1 0.0000 0.0000 0.0000 1
Ba2 0.0000 0.0000 0.5000 1
Ba3 0.0000 0.5000 0.2379 1
Na1 0.5000 0.0000 0.2577 1
Na2 0.5000 0.5000 0.0000 1
Sr1 0.5000 0.5000 0.5000 1
```

Results
* density of states at the Fermi level: 1.342 states/eV/atom
* excess energy over the best structure of this formula in the dataset: 0 meV per atom
* ΔE_f: 0.023 eV per atom
* total energy: -1.64 eV per atom

---

[6]
Computed, not measured: a relaxed structure of LiLuSnRh at the PBE level of DFT.

Geometry as CIF:
```
data_LiLuSnRh
_cell_length_a 6.6133
_cell_length_b 6.6133
_cell_length_c 6.6133
_cell_angle_alpha 90.00
_cell_angle_beta 90.00
_cell_angle_gamma 90.00
_symmetry_space_group_name_H-M 'F -4 3 m'
_symmetry_Int_Tables_number 216
_symmetry_space_group_name_Hall 'F -4 2 3'
loop_
_atom_site_label
_atom_site_fract_x
_atom_site_fract_y
_atom_site_fract_z
_atom_site_occupancy
Li1 0.0000 0.0000 0.0000 1
Lu1 0.2500 0.2500 0.7500 1
Sn1 0.2500 0.2500 0.2500 1
Rh1 0.0000 0.0000 0.5000 1
```

Results
* density of states at the Fermi level: 0.931 states/eV/atom
* ΔE_f: -0.733 eV per atom
* total energy: -5.18 eV per atom

---

[7]
Computed, not measured: a relaxed structure of In2ReC at the PBE level of DFT.

Geometry as CIF:
```
data_In2ReC
_cell_length_a 8.8352
_cell_length_b 8.8352
_cell_length_c 4.0206
_cell_angle_alpha 90.00
_cell_angle_beta 90.00
_cell_angle_gamma 90.00
_symmetry_space_group_name_H-M 'I -4 2 d'
_symmetry_Int_Tables_number 122
_symmetry_space_group_name_Hall 'I -4 2bw'
loop_
_atom_site_label
_atom_site_fract_x
_atom_site_fract_y
_atom_site_fract_z
_atom_site_occupancy
In1 0.1056 0.7500 0.1250 1
Re1 0.0000 0.0000 0.5000 1
C1 0.0000 0.0000 0.0000 1
```

Results
* density of states at the Fermi level: 0.713 states/eV/atom
* excess energy over the best structure of this formula in the dataset: 0 meV per atom
* ΔE_f: 0.987 eV per atom
* total energy: -5.80 eV per atom

---

[8]
Computed, not measured: a relaxed structure of MnMo2Ru at the PBE level of DFT.

Geometry as CIF:
```
data_MnMo2Ru
_cell_length_a 2.7119
_cell_length_b 4.3654
_cell_length_c 5.0044
_cell_angle_alpha 90.00
_cell_angle_beta 98.79
_cell_angle_gamma 90.00
_symmetry_space_group_name_H-M 'P 1 m 1'
_symmetry_Int_Tables_number 6
loop_
_symmetry_equiv_pos_as_xyz
'x,y,z'
'x,-y,z'
loop_
_atom_site_label
_atom_site_fract_x
_atom_site_fract_y
_atom_site_fract_z
_atom_site_occupancy
Mn1 0.0000 0.0000 0.0000 1
Mo1 0.5071 0.0000 0.4967 1
Mo2 0.7143 0.5000 0.2203 1
Ru1 0.1923 0.5000 0.7312 1
```

Results
* density of states at the Fermi level: 1.171 states/eV/atom
* excess energy over the best structure of this formula in the dataset: 71 meV per atom
* ΔE_f: 0.139 eV per atom
* total energy: -9.89 eV per atom

---

[9]
Computed, not measured: a relaxed structure of Dy2HoCd at the PBE level of DFT.

Geometry as CIF:
```
data_Dy2HoCd
_cell_length_a 3.5906
_cell_length_b 3.5906
_cell_length_c 32.0403
_cell_angle_alpha 90.00
_cell_angle_beta 90.00
_cell_angle_gamma 120.00
_symmetry_space_group_name_H-M 'R 3 m'
_symmetry_Int_Tables_number 160
_symmetry_space_group_name_Hall 'R 3 -2"'
loop_
_atom_site_label
_atom_site_fract_x
_atom_site_fract_y
_atom_site_fract_z
_atom_site_occupancy
Dy1 0.0000 0.0000 0.0000 1
Dy2 0.0000 0.0000 0.1768 1
Ho1 0.0000 0.0000 0.4217 1
Cd1 0.0000 0.0000 0.5882 1
```

Results
* density of states at the Fermi level: 1.552 states/eV/atom
* excess energy over the best structure of this formula in the dataset: 80 meV per atom
* ΔE_f: -0.063 eV per atom
* total energy: -3.74 eV per atom

---

[10]
Computed, not measured: a relaxed structure of ZrZnCu at the PBE level of DFT.

Geometry as CIF:
```
data_ZrZnCu
_cell_length_a 4.4176
_cell_length_b 4.4176
_cell_length_c 2.8931
_cell_angle_alpha 90.00
_cell_angle_beta 90.00
_cell_angle_gamma 120.00
_symmetry_space_group_name_H-M 'P -6 m 2'
_symmetry_Int_Tables_number 187
_symmetry_space_group_name_Hall 'P -6 2'
loop_
_atom_site_label
_atom_site_fract_x
_atom_site_fract_y
_atom_site_fract_z
_atom_site_occupancy
Zr1 0.0000 0.0000 0.0000 1
Zn1 0.6667 0.3333 0.5000 1
Cu1 0.3333 0.6667 0.5000 1
```

Results
* density of states at the Fermi level: 0.697 states/eV/atom
* ΔE_f: -0.215 eV per atom
* total energy: -4.85 eV per atom

---

[11]
Computed, not measured: a relaxed structure of LiTc2SnMo at the PBE level of DFT.

Geometry as CIF:
```
data_LiTc2SnMo
_cell_length_a 4.8490
_cell_length_b 4.8490
_cell_length_c 4.1405
_cell_angle_alpha 90.00
_cell_angle_beta 90.00
_cell_angle_gamma 90.00
_symmetry_space_group_name_H-M 'P 4/m m m'
_symmetry_Int_Tables_number 123
_symmetry_space_group_name_Hall '-P 4 2'
loop_
_atom_site_label
_atom_site_fract_x
_atom_site_fract_y
_atom_site_fract_z
_atom_site_occupancy
Li1 0.0000 0.0000 0.0000 1
Tc1 0.0000 0.5000 0.5000 1
Sn1 0.0000 0.0000 0.5000 1
Mo1 0.5000 0.5000 0.0000 1
```

Results
* density of states at the Fermi level: 2.277 states/eV/atom
* ΔE_f: 1.833 eV per atom
* total energy: -5.66 eV per atom

---

[12]
Computed, not measured: a relaxed structure of LiCaPrCu at the PBE level of DFT.

Geometry as CIF:
```
data_LiCaPrCu
_cell_length_a 7.3614
_cell_length_b 7.3614
_cell_length_c 7.3614
_cell_angle_alpha 90.00
_cell_angle_beta 90.00
_cell_angle_gamma 90.00
_symmetry_space_group_name_H-M 'F -4 3 m'
_symmetry_Int_Tables_number 216
_symmetry_space_group_name_Hall 'F -4 2 3'
loop_
_atom_site_label
_atom_site_fract_x
_atom_site_fract_y
_atom_site_fract_z
_atom_site_occupancy
Li1 0.0000 0.0000 0.0000 1
Ca1 0.2500 0.2500 0.2500 1
Pr1 0.2500 0.2500 0.7500 1
Cu1 0.0000 0.0000 0.5000 1
```

Results
* density of states at the Fermi level: 0.639 states/eV/atom
* ΔE_f: -0.007 eV per atom
* total energy: -3.20 eV per atom